[1]
The following is a DFT calculation (PBE) of an optimized crystal structure of TeHSe2. Values from VASP.

Cell and atoms, written as Quantum ESPRESSO input:
```
&SYSTEM
  ibrav = 0, nat = 8, ntyp = 3
/
ATOMIC_SPECIES
Te 127.60 Te.upf
H 1.01 H.upf
Se 78.96 Se.upf
CELL_PARAMETERS angstrom
-3.149 3.149 4.231
3.149 -3.149 4.231
3.149 3.149 -4.231
ATOMIC_POSITIONS angstrom
Te 0.000 0.000 0.000
Te 0.000 3.149 2.115
H 3.149 0.000 2.115
H 0.000 0.000 4.231
Se 1.575 -1.055 3.173
Se 2.094 1.575 1.058
Se 1.575 4.204 -1.058
Se 1.055 1.575 5.288
```

Output
Spin magnetization: 0.0 μB per cell
Calculated density: 5.7 Mg/m³
Offset from the most stable computed form: 0.465 eV per atom
Total energy: -2.89 eV/atom

[2]
The following is a DFT calculation (PBE) of an optimized crystal structure of TaPCl2. Values from VASP.

Cell and atoms, written as Quantum ESPRESSO input:
```
&SYSTEM
  ibrav = 0, nat = 4, ntyp = 3
/
ATOMIC_SPECIES
Ta 180.95 Ta.upf
P 30.97 P.upf
Cl 35.45 Cl.upf
CELL_PARAMETERS angstrom
1.435 -2.867 0.000
1.435 2.867 0.000
0.000 0.000 12.277
ATOMIC_POSITIONS angstrom
Ta 0.000 0.000 0.000
P 0.000 0.000 6.138
Cl 1.435 0.000 2.008
Cl 1.435 0.000 10.269
```

Output
Spin magnetization: 0.0 μB per cell
Raw formation energy: 0.075 eV per atom
Calculated density: 4.6 Mg/m³
Offset from the most stable computed form: 0.723 eV per atom
Total energy: -5.16 eV/atom

[3]
The following is a DFT calculation (PBE) of an optimized crystal structure of Li6MgCd5. Values from VASP.

Cell and atoms, written as Quantum ESPRESSO input:
```
&SYSTEM
  ibrav = 0, nat = 12, ntyp = 3
/
ATOMIC_SPECIES
Li 6.94 Li.upf
Mg 24.30 Mg.upf
Cd 112.41 Cd.upf
CELL_PARAMETERS angstrom
2.360 -7.110 0.000
2.360 7.110 0.000
-0.097 0.000 6.587
ATOMIC_POSITIONS angstrom
Li -0.023 0.000 1.592
Li 4.646 0.000 4.995
Li 2.337 2.421 1.625
Li 2.286 2.421 4.963
Li 2.337 -2.421 1.625
Li 2.286 -2.421 4.963
Mg 2.312 0.000 3.294
Cd 2.312 4.789 3.294
Cd 2.360 4.754 0.000
Cd 2.360 0.000 0.000
Cd 2.360 -4.754 0.000
Cd 2.312 -4.789 3.294
```

Output
Spin magnetization: 0.0 μB per cell
Energy of formation: -228 meV per atom
Calculated density: 4.7 Mg/m³
Total energy: -1.70 eV/atom

[4]
The following is a DFT calculation (PBE) of an optimized crystal structure of Mn2ReSb. Values from VASP.

Cell and atoms, written as Quantum ESPRESSO input:
```
&SYSTEM
  ibrav = 0, nat = 4, ntyp = 3
/
ATOMIC_SPECIES
Mn 54.94 Mn.upf
Re 186.21 Re.upf
Sb 121.76 Sb.upf
CELL_PARAMETERS angstrom
-1.962 1.962 3.828
1.962 -1.962 3.828
1.962 1.962 -3.828
ATOMIC_POSITIONS angstrom
Mn 0.000 0.000 0.000
Mn 0.000 1.962 1.914
Re 0.000 0.000 3.828
Sb 1.962 0.000 1.914
```

Output
Spin magnetization: 4.2 μB per cell
Raw formation energy: 0.300 eV per atom
Calculated density: 11.8 Mg/m³
Total energy: -8.43 eV/atom

[5]
The following is a DFT calculation (PBE) of an optimized crystal structure of TlIn6I8. Values from VASP.

Cell and atoms, written as Quantum ESPRESSO input:
```
&SYSTEM
  ibrav = 0, nat = 15, ntyp = 3
/
ATOMIC_SPECIES
Tl 204.38 Tl.upf
In 114.82 In.upf
I 126.90 I.upf
CELL_PARAMETERS angstrom
6.183 3.570 4.948
-6.183 3.570 4.948
0.000 -7.140 4.948
ATOMIC_POSITIONS angstrom
Tl 0.000 0.000 0.000
In -2.113 0.000 5.964
In 1.056 -1.830 5.964
In -1.057 -1.830 8.879
In 1.057 1.830 5.964
In -1.056 1.830 8.879
In 2.113 0.000 8.879
I -1.720 -3.609 5.896
I 0.000 0.000 3.439
I -3.985 -0.315 8.947
I -2.265 3.294 5.896
I 2.265 -3.294 8.947
I 3.985 0.315 5.896
I 0.000 0.000 11.404
I 1.720 3.609 8.947
```

Output
Spin magnetization: 0.0 μB per cell
Raw formation energy: -0.406 eV per atom
Calculated density: 4.8 Mg/m³
Offset from the most stable computed form: 0.026 eV per atom
Total energy: -2.49 eV/atom

[6]
The following is a DFT calculation (PBE) of an optimized crystal structure of K4IrO5. Values from VASP.

Cell and atoms, written as Quantum ESPRESSO input:
```
&SYSTEM
  ibrav = 0, nat = 10, ntyp = 3
/
ATOMIC_SPECIES
K 39.10 K.upf
Ir 192.22 Ir.upf
O 16.00 O.upf
CELL_PARAMETERS angstrom
-4.108 4.108 2.743
4.108 -4.108 2.743
4.108 4.108 -2.743
ATOMIC_POSITIONS angstrom
K 5.790 0.869 0.000
K 0.869 2.426 0.000
K 3.239 1.682 2.743
K -1.682 3.239 2.743
Ir 0.000 0.000 2.500
O 0.000 0.000 0.621
O 3.536 2.267 0.036
O 1.841 -0.573 2.779
O 2.267 4.681 0.036
O 0.573 1.841 2.779
```

Output
Spin magnetization: 3.0 μB per cell
Raw formation energy: -1.191 eV per atom
Calculated density: 3.8 Mg/m³
Total energy: -5.00 eV/atom

[7]
The following is a DFT calculation (PBE) of an optimized crystal structure of YInSbTe2. Values from VASP.

Cell and atoms, written as Quantum ESPRESSO input:
```
&SYSTEM
  ibrav = 0, nat = 5, ntyp = 4
/
ATOMIC_SPECIES
Y 88.91 Y.upf
In 114.82 In.upf
Sb 121.76 Sb.upf
Te 127.60 Te.upf
CELL_PARAMETERS angstrom
5.626 0.000 0.000
0.000 5.626 0.000
0.000 0.000 5.479
ATOMIC_POSITIONS angstrom
Y 0.000 0.000 0.000
In 2.813 2.813 2.739
Sb 2.813 2.813 0.000
Te 0.000 2.813 2.739
Te 2.813 0.000 2.739
```

Output
Spin magnetization: 0.0 μB per cell
Raw formation energy: 0.148 eV per atom
Calculated density: 5.6 Mg/m³
Offset from the most stable computed form: 0.305 eV per atom
Total energy: -3.77 eV/atom

[8]
The following is a DFT calculation (PBE) of an optimized crystal structure of NiTeRh2. Values from VASP.

Cell and atoms, written as Quantum ESPRESSO input:
```
&SYSTEM
  ibrav = 0, nat = 4, ntyp = 3
/
ATOMIC_SPECIES
Ni 58.69 Ni.upf
Te 127.60 Te.upf
Rh 102.91 Rh.upf
CELL_PARAMETERS angstrom
1.568 0.905 7.695
-1.568 0.905 7.695
0.000 -1.811 7.695
ATOMIC_POSITIONS angstrom
Ni 0.000 0.000 0.000
Te 0.000 0.000 11.542
Rh 0.000 0.000 5.844
Rh 0.000 0.000 17.241
```

Output
Spin magnetization: 1.3 μB per cell
Raw formation energy: 0.318 eV per atom
Calculated density: 9.9 Mg/m³
Total energy: -5.59 eV/atom